# 1
DFT (PBE) results for TcAsAu2 after structural relaxation.

The energy relative to the elements is 0.42 eV/atom.

a = 7.5082 Å, b = 7.5082 Å, c = 5.9095 Å
α = 50.56°, β = 50.56°, γ = 90.00°
Each line ends with the local moment (μB).
Fractional positions:
Au1 0.6090 0.1250 0.2500  0.00
As1 0.5000 0.5000 0.0000  -0.04
Tc1 0.0000 0.0000 0.0000  1.41
Au2 0.3750 0.3910 0.7500  0.01
Tc2 0.7500 0.2500 0.5000  1.41
As2 0.2500 0.7500 0.5000  -0.04
Au3 0.8750 0.8590 0.7500  0.01
Au4 0.1410 0.6250 0.2500  0.01

---

# 2
DFT (PBE) results for SrCd2TcP after structural relaxation.

The energy relative to the elements is 0.26 eV/atom.

a = 5.2213 Å, b = 4.5431 Å, c = 5.2213 Å
α = 90.00°, β = 90.00°, γ = 90.00°
Each line ends with the local moment (μB).
Fractional positions:
Sr1 0.5000 0.5000 0.5000  0.00
Cd1 0.5000 0.0000 0.0000  0.00
P1 0.0000 0.0000 0.0000  -0.02
Tc1 0.0000 0.5000 0.0000  0.41
Cd2 0.0000 0.0000 0.5000  -0.01

---

# 3
DFT (PBE) results for HoTh2Sc4 after structural relaxation.

The energy relative to the elements is 0.24 eV/atom.

a = 5.3513 Å, b = 3.5988 Å, c = 10.7413 Å
α = 99.64°, β = 90.00°, γ = 90.00°
Fractional positions:
Th1 0.5000 0.0723 0.1446
Th2 0.5000 0.9277 0.8554
Sc1 0.0000 0.8181 0.6361
Ho1 0.0000 0.5000 0.0000
Sc2 0.5000 0.3025 0.6050
Sc3 0.5000 0.6975 0.3950
Sc4 0.0000 0.1819 0.3639

---

# 4
DFT (PBE) results for Na2YGe3Pt4 after structural relaxation.

The energy relative to the elements is -0.59 eV/atom.

a = 4.3400 Å, b = 4.3400 Å, c = 10.8647 Å
α = 90.00°, β = 90.00°, γ = 90.00°
Fractional positions:
Ge1 0.0000 0.5000 0.1203
Pt1 0.5000 0.0000 0.6555
Na1 0.5000 0.0000 0.2274
Pt2 0.0000 0.5000 0.3445
Y1 0.5000 0.5000 0.5000
Na2 0.0000 0.5000 0.7726
Pt3 0.5000 0.5000 0.0000
Pt4 0.0000 0.0000 0.0000
Ge2 0.5000 0.0000 0.8797
Ge3 0.0000 0.0000 0.5000

---

# 5
DFT (PBE) results for NiAsH3 after structural relaxation.

Its calculated total energy is -3.21 eV/atom.

a = 3.5980 Å, b = 3.5980 Å, c = 3.5980 Å
α = 90.00°, β = 90.00°, γ = 90.00°
Fractional positions:
Ni1 0.5000 0.5000 0.5000
As1 0.0000 0.0000 0.0000
H1 0.5000 0.0000 0.0000
H2 0.0000 0.5000 0.0000
H3 0.0000 0.0000 0.5000

---

# 6
DFT (PBE) results for CdIn2CoGe after structural relaxation.

The energy relative to the elements is 0.06 eV/atom.

a = 5.0608 Å, b = 5.0608 Å, c = 4.4476 Å
α = 90.00°, β = 90.00°, γ = 90.00°
Fractional positions:
In1 0.0000 0.5000 0.0000
Ge1 0.0000 0.0000 0.5000
Co1 0.0000 0.0000 0.0000
Cd1 0.5000 0.5000 0.5000
In2 0.5000 0.0000 0.0000

---

# 7
DFT (PBE) results for Tl2RhCl after structural relaxation.

As for the uncorrected formation energy: 0.1495 eV per atom.

a = 5.7433 Å, b = 5.7433 Å, c = 5.7433 Å
α = 143.16°, β = 113.24°, γ = 78.75°
Fractional positions:
Tl1 0.0217 0.0217 0.0000
Cl1 0.7500 0.2500 0.5000
Tl2 0.4783 0.4783 0.0000
Rh1 0.2500 0.7500 0.5000

---

# 8
DFT (PBE) results for CdFe2Tc after structural relaxation.

The energy relative to the elements is 0.42 eV/atom.

a = 4.5823 Å, b = 4.5823 Å, c = 5.0138 Å
α = 83.02°, β = 83.02°, γ = 34.51°
Each line ends with the local moment (μB).
Fractional positions:
Fe1 0.0032 0.0032 0.9527  2.28
Tc1 0.7500 0.7500 0.7500  -0.10
Fe2 0.4968 0.4968 0.5473  2.28
Cd1 0.2500 0.2500 0.2500  -0.02

---

| no. | mass density (g/cm3) |
| --- | --- |
| 1 | 12.9 |
| 2 | 5.9 |
| 3 | 6.6 |
| 4 | 9.2 |
| 5 | 4.9 |
| 6 | 6.9 |
| 7 | 8.9 |
| 8 | 9.0 |